1.
A relaxed structure of RbFeAs2I. Source: the Alexandria database, functional PBE.

Results
Space-group type: P4/mmm, No. 123

```
data_RbFeAs2I
_symmetry_space_group_name_H-M 'P 1'
_symmetry_Int_Tables_number 1
_symmetry_space_group_name_Hall 'P 1'
_cell_length_a 4.6082
_cell_length_b 8.3419
_cell_length_c 4.6082
_cell_angle_alpha 90.00
_cell_angle_beta 90.00
_cell_angle_gamma 90.00
loop_
_atom_site_label
_atom_site_fract_x
_atom_site_fract_y
_atom_site_fract_z
I1 0.5000 0.5000 0.5000
As1 0.0000 0.0000 0.5000
As2 0.5000 0.0000 0.0000
Fe1 0.0000 0.0000 0.0000
Rb1 0.0000 0.5000 0.0000
```

2.
A relaxed structure of FeSbAs2I. Source: the Alexandria database, functional PBE.

Results
Space-group type: P4/mmm, No. 123

```
data_FeSbAs2I
_symmetry_space_group_name_H-M 'P 1'
_symmetry_Int_Tables_number 1
_symmetry_space_group_name_Hall 'P 1'
_cell_length_a 4.5551
_cell_length_b 5.5451
_cell_length_c 4.5551
_cell_angle_alpha 90.00
_cell_angle_beta 90.00
_cell_angle_gamma 90.00
loop_
_atom_site_label
_atom_site_fract_x
_atom_site_fract_y
_atom_site_fract_z
I1 0.0000 0.5000 0.0000
Sb1 0.5000 0.5000 0.5000
As1 0.0000 0.0000 0.5000
As2 0.5000 0.0000 0.0000
Fe1 0.0000 0.0000 0.0000
```

3.
A relaxed structure of FeSbAsI2. Source: the Alexandria database, functional PBE.

Results
Space-group type: P4/mmm, No. 123

```
data_FeSbAsI2
_symmetry_space_group_name_H-M 'P 1'
_symmetry_Int_Tables_number 1
_symmetry_space_group_name_Hall 'P 1'
_cell_length_a 5.5706
_cell_length_b 5.5706
_cell_length_c 5.5909
_cell_angle_alpha 90.00
_cell_angle_beta 90.00
_cell_angle_gamma 90.00
loop_
_atom_site_label
_atom_site_fract_x
_atom_site_fract_y
_atom_site_fract_z
I1 0.0000 0.5000 0.0000
I2 0.5000 0.0000 0.0000
Sb1 0.0000 0.0000 0.5000
As1 0.0000 0.0000 0.0000
Fe1 0.5000 0.5000 0.5000
```

4.
A relaxed structure of FeSbAsI2. Source: the Alexandria database, functional PBE.

Results
Space-group type: P4/mmm, No. 123

```
data_FeSbAsI2
_symmetry_space_group_name_H-M 'P 1'
_symmetry_Int_Tables_number 1
_symmetry_space_group_name_Hall 'P 1'
_cell_length_a 5.1636
_cell_length_b 5.1636
_cell_length_c 4.9266
_cell_angle_alpha 90.00
_cell_angle_beta 90.00
_cell_angle_gamma 90.00
loop_
_atom_site_label
_atom_site_fract_x
_atom_site_fract_y
_atom_site_fract_z
I1 0.0000 0.5000 0.0000
I2 0.5000 0.0000 0.0000
Sb1 0.0000 0.0000 0.5000
As1 0.5000 0.5000 0.5000
Fe1 0.0000 0.0000 0.0000
```

5.
A relaxed structure of FeAs2SeI. Source: the Alexandria database, functional PBE.

Results
Space-group type: P4/mmm, No. 123

```
data_FeAs2SeI
_symmetry_space_group_name_H-M 'P 1'
_symmetry_Int_Tables_number 1
_symmetry_space_group_name_Hall 'P 1'
_cell_length_a 5.3698
_cell_length_b 5.3698
_cell_length_c 5.2771
_cell_angle_alpha 90.00
_cell_angle_beta 90.00
_cell_angle_gamma 90.00
loop_
_atom_site_label
_atom_site_fract_x
_atom_site_fract_y
_atom_site_fract_z
I1 0.0000 0.0000 0.0000
As1 0.0000 0.5000 0.0000
As2 0.5000 0.0000 0.0000
Fe1 0.5000 0.5000 0.5000
Se1 0.0000 0.0000 0.5000
```

6.
A relaxed structure of FeAs2SeI. Source: the Alexandria database, functional PBE.

Results
Space-group type: P4/mmm, No. 123

```
data_FeAs2SeI
_symmetry_space_group_name_H-M 'P 1'
_symmetry_Int_Tables_number 1
_symmetry_space_group_name_Hall 'P 1'
_cell_length_a 5.0471
_cell_length_b 5.5477
_cell_length_c 5.0471
_cell_angle_alpha 90.00
_cell_angle_beta 90.00
_cell_angle_gamma 90.00
loop_
_atom_site_label
_atom_site_fract_x
_atom_site_fract_y
_atom_site_fract_z
I1 0.0000 0.5000 0.0000
As1 0.0000 0.0000 0.5000
As2 0.5000 0.0000 0.0000
Fe1 0.5000 0.5000 0.5000
Se1 0.0000 0.0000 0.0000
```

7.
A relaxed structure of SrFeAs2I. Source: the Alexandria database, functional PBE.

Results
Space-group type: P4/mmm, No. 123

```
data_SrFeAs2I
_symmetry_space_group_name_H-M 'P 1'
_symmetry_Int_Tables_number 1
_symmetry_space_group_name_Hall 'P 1'
_cell_length_a 5.7421
_cell_length_b 6.0999
_cell_length_c 5.7421
_cell_angle_alpha 90.00
_cell_angle_beta 90.00
_cell_angle_gamma 90.00
loop_
_atom_site_label
_atom_site_fract_x
_atom_site_fract_y
_atom_site_fract_z
I1 0.0000 0.5000 0.0000
Sr1 0.0000 0.0000 0.0000
As1 0.0000 0.0000 0.5000
As2 0.5000 0.0000 0.0000
Fe1 0.5000 0.5000 0.5000
```

8.
A relaxed structure of FeTc2AsI. Source: the Alexandria database, functional PBE.

Results
Space-group type: P4/mmm, No. 123

```
data_FeTc2AsI
_symmetry_space_group_name_H-M 'P 1'
_symmetry_Int_Tables_number 1
_symmetry_space_group_name_Hall 'P 1'
_cell_length_a 4.6759
_cell_length_b 4.2850
_cell_length_c 4.6759
_cell_angle_alpha 90.00
_cell_angle_beta 90.00
_cell_angle_gamma 90.00
loop_
_atom_site_label
_atom_site_fract_x
_atom_site_fract_y
_atom_site_fract_z
I1 0.5000 0.5000 0.5000
As1 0.0000 0.5000 0.0000
Tc1 0.0000 0.0000 0.5000
Tc2 0.5000 0.0000 0.0000
Fe1 0.0000 0.0000 0.0000
```

9.
A relaxed structure of FeTe2AsI. Source: the Alexandria database, functional PBE.

Results
Space-group type: P4/mmm, No. 123

```
data_FeTe2AsI
_symmetry_space_group_name_H-M 'P 1'
_symmetry_Int_Tables_number 1
_symmetry_space_group_name_Hall 'P 1'
_cell_length_a 5.5092
_cell_length_b 5.5092
_cell_length_c 5.4565
_cell_angle_alpha 90.00
_cell_angle_beta 90.00
_cell_angle_gamma 90.00
loop_
_atom_site_label
_atom_site_fract_x
_atom_site_fract_y
_atom_site_fract_z
I1 0.0000 0.0000 0.5000
As1 0.0000 0.0000 0.0000
Te1 0.0000 0.5000 0.0000
Te2 0.5000 0.0000 0.0000
Fe1 0.5000 0.5000 0.5000
```

10.
A relaxed structure of FeTe2AsI. Source: the Alexandria database, functional PBE.

Results
Space-group type: P4/mmm, No. 123

```
data_FeTe2AsI
_symmetry_space_group_name_H-M 'P 1'
_symmetry_Int_Tables_number 1
_symmetry_space_group_name_Hall 'P 1'
_cell_length_a 5.7036
_cell_length_b 4.5913
_cell_length_c 5.7036
_cell_angle_alpha 90.00
_cell_angle_beta 90.00
_cell_angle_gamma 90.00
loop_
_atom_site_label
_atom_site_fract_x
_atom_site_fract_y
_atom_site_fract_z
I1 0.5000 0.5000 0.5000
As1 0.0000 0.0000 0.0000
Te1 0.0000 0.0000 0.5000
Te2 0.5000 0.0000 0.0000
Fe1 0.0000 0.5000 0.0000
```

11.
A relaxed structure of FeTe2AsI. Source: the Alexandria database, functional PBE.

Results
Space-group type: P4/mmm, No. 123

```
data_FeTe2AsI
_symmetry_space_group_name_H-M 'P 1'
_symmetry_Int_Tables_number 1
_symmetry_space_group_name_Hall 'P 1'
_cell_length_a 4.9441
_cell_length_b 4.9441
_cell_length_c 5.2866
_cell_angle_alpha 90.00
_cell_angle_beta 90.00
_cell_angle_gamma 90.00
loop_
_atom_site_label
_atom_site_fract_x
_atom_site_fract_y
_atom_site_fract_z
I1 0.0000 0.0000 0.5000
As1 0.5000 0.5000 0.5000
Te1 0.0000 0.5000 0.0000
Te2 0.5000 0.0000 0.0000
Fe1 0.0000 0.0000 0.0000
```

12.
A relaxed structure of FeTeAsI2. Source: the Alexandria database, functional PBE.

Results
Space-group type: P4/mmm, No. 123

```
data_FeTeAsI2
_symmetry_space_group_name_H-M 'P 1'
_symmetry_Int_Tables_number 1
_symmetry_space_group_name_Hall 'P 1'
_cell_length_a 5.1892
_cell_length_b 5.1892
_cell_length_c 4.9644
_cell_angle_alpha 90.00
_cell_angle_beta 90.00
_cell_angle_gamma 90.00
loop_
_atom_site_label
_atom_site_fract_x
_atom_site_fract_y
_atom_site_fract_z
I1 0.0000 0.5000 0.0000
I2 0.5000 0.0000 0.0000
As1 0.5000 0.5000 0.5000
Te1 0.0000 0.0000 0.5000
Fe1 0.0000 0.0000 0.0000
```

Number 1: raw formation energy -32 meV/atom, E -4.09 eV/atom, total moment 1.83 Bohr magnetons per cell. Number 2: raw formation energy 467 meV/atom, E -4.22 eV/atom, total moment 0.00 Bohr magnetons per cell. Number 3: raw formation energy 963 meV/atom, E -3.10 eV/atom, total moment 4.06 Bohr magnetons per cell. Number 4: raw formation energy 675 meV/atom, E -3.39 eV/atom, total moment 1.65 Bohr magnetons per cell. Number 5: raw formation energy 1598 meV/atom, E -2.96 eV/atom, total moment 3.79 Bohr magnetons per cell. Number 6: raw formation energy 1240 meV/atom, E -3.32 eV/atom, total moment 3.66 Bohr magnetons per cell. Number 7: raw formation energy 1130 meV/atom, E -3.07 eV/atom, total moment 4.84 Bohr magnetons per cell. Number 8: raw formation energy 1195 meV/atom, E -5.88 eV/atom, total moment 0.00 Bohr magnetons per cell. Number 9: raw formation energy 935 meV/atom, E -3.25 eV/atom, total moment 4.12 Bohr magnetons per cell. Number 10: raw formation energy 646 meV/atom, E -3.54 eV/atom, total moment 3.58 Bohr magnetons per cell. Number 11: raw formation energy 601 meV/atom, E -3.59 eV/atom, total moment 1.92 Bohr magnetons per cell. Number 12: raw formation energy 628 meV/atom, E -3.24 eV/atom, total moment 1.82 Bohr magnetons per cell.